Computed, not measured: a relaxed structure of Er4Th at the PBE level of DFT.

Results
E_tot   -0.155 Ha/atom
SG   Pm-3m, No. 221
Relative energy among the computed polymorphs   869 meV/atom

abc: 5.7452 5.7452 5.7452
angles: 90.00 90.00 90.00
Closest atoms and distances in Å follow each position.
Sites, in units of the cell vectors:
Th1 0.5000 0.5000 0.5000  6 Er 2.87
Er1 0.0000 0.0000 0.0000  12 Er 4.06
Er2 0.5000 0.0000 0.5000  2 Th 2.87
Er3 0.0000 0.5000 0.5000  2 Th 2.87
Er4 0.5000 0.5000 0.0000  2 Th 2.87